1) # Tb3Ho2Hg2 (GGA-PBE, relaxed)
# D(E_F): 1.02 states/eV per atom
# Space-group type: No. 12
data_Tb3Ho2Hg2
_chemical_formula_sum 'Tb3 Ho2 Hg2'
_cell_length_a 5.348
_cell_length_b 5.349
_cell_length_c 8.495
_cell_angle_alpha 108.31
_cell_angle_beta 90.04
_cell_angle_gamma 119.97
_symmetry_space_group_name_H-M 'P 1'
_symmetry_Int_Tables_number 1
loop_
_symmetry_equiv_pos_as_xyz
'x,y,z'
loop_
_atom_site_label
_atom_site_type_symbol
_atom_site_fract_x
_atom_site_fract_y
_atom_site_fract_z
Tb1 Tb 0.500 0.000 0.000
Tb2 Tb 0.658 0.316 0.474
Tb3 Tb 0.342 0.684 0.526
Ho1 Ho 0.925 0.850 0.275
Ho2 Ho 0.075 0.150 0.725
Hg1 Hg 0.787 0.575 0.861
Hg2 Hg 0.213 0.425 0.139


2) # Tb3Ho2Hg2 (GGA-PBE, relaxed)
# D(E_F): 1.52 states/eV per atom
# Space-group type: No. 65
data_Tb3Ho2Hg2
_chemical_formula_sum 'Tb3 Ho2 Hg2'
_cell_length_a 3.566
_cell_length_b 3.548
_cell_length_c 16.146
_cell_angle_alpha 90.00
_cell_angle_beta 83.66
_cell_angle_gamma 90.00
_symmetry_space_group_name_H-M 'P 1'
_symmetry_Int_Tables_number 1
loop_
_symmetry_equiv_pos_as_xyz
'x,y,z'
loop_
_atom_site_label
_atom_site_type_symbol
_atom_site_fract_x
_atom_site_fract_y
_atom_site_fract_z
Tb1 Tb 0.873 0.000 0.254
Tb2 Tb 0.000 0.000 0.000
Tb3 Tb 0.127 0.000 0.746
Ho1 Ho 0.704 0.500 0.592
Ho2 Ho 0.296 0.500 0.408
Hg1 Hg 0.563 0.500 0.874
Hg2 Hg 0.437 0.500 0.126


Winner for stability: 1)


1) # Tb2Ho3Hg2 (GGA-PBE, relaxed)
# D(E_F): 1.38 states/eV per atom
# Space-group type: No. 65
data_Tb2Ho3Hg2
_chemical_formula_sum 'Tb2 Ho3 Hg2'
_cell_length_a 3.567
_cell_length_b 3.559
_cell_length_c 16.001
_cell_angle_alpha 90.00
_cell_angle_beta 83.60
_cell_angle_gamma 90.00
_symmetry_space_group_name_H-M 'P 1'
_symmetry_Int_Tables_number 1
loop_
_symmetry_equiv_pos_as_xyz
'x,y,z'
loop_
_atom_site_label
_atom_site_type_symbol
_atom_site_fract_x
_atom_site_fract_y
_atom_site_fract_z
Tb1 Tb 0.703 0.500 0.594
Tb2 Tb 0.297 0.500 0.406
Ho1 Ho 0.875 0.000 0.249
Ho2 Ho 0.000 0.000 0.000
Ho3 Ho 0.125 0.000 0.751
Hg1 Hg 0.562 0.500 0.877
Hg2 Hg 0.438 0.500 0.123


2) # Tb2Ho3Hg2 (GGA-PBE, relaxed)
# D(E_F): 1.07 states/eV per atom
# Space-group type: No. 12
data_Tb2Ho3Hg2
_chemical_formula_sum 'Tb2 Ho3 Hg2'
_cell_length_a 5.339
_cell_length_b 5.345
_cell_length_c 8.485
_cell_angle_alpha 108.29
_cell_angle_beta 90.00
_cell_angle_gamma 119.96
_symmetry_space_group_name_H-M 'P 1'
_symmetry_Int_Tables_number 1
loop_
_symmetry_equiv_pos_as_xyz
'x,y,z'
loop_
_atom_site_label
_atom_site_type_symbol
_atom_site_fract_x
_atom_site_fract_y
_atom_site_fract_z
Tb1 Tb 0.925 0.849 0.274
Tb2 Tb 0.075 0.151 0.726
Ho1 Ho 0.500 0.000 0.000
Ho2 Ho 0.657 0.315 0.472
Ho3 Ho 0.343 0.685 0.528
Hg1 Hg 0.786 0.573 0.859
Hg2 Hg 0.214 0.427 0.141


Winner for stability: 2)


1) # TbHoHg4 (GGA-PBE, relaxed)
# D(E_F): 0.51 states/eV per atom
# Space-group type: No. 38
data_TbHoHg4
_chemical_formula_sum 'Tb1 Ho1 Hg4'
_cell_length_a 3.916
_cell_length_b 5.201
_cell_length_c 7.559
_cell_angle_alpha 90.00
_cell_angle_beta 105.04
_cell_angle_gamma 90.00
_symmetry_space_group_name_H-M 'P 1'
_symmetry_Int_Tables_number 1
loop_
_symmetry_equiv_pos_as_xyz
'x,y,z'
loop_
_atom_site_label
_atom_site_type_symbol
_atom_site_fract_x
_atom_site_fract_y
_atom_site_fract_z
Tb1 Tb 0.647 0.497 0.039
Ho1 Ho 0.856 0.997 0.457
Hg1 Hg 0.187 0.997 0.121
Hg2 Hg 0.521 0.997 0.787
Hg3 Hg 0.981 0.497 0.707
Hg4 Hg 0.317 0.497 0.378


2) # TbHoHg4 (GGA-PBE, relaxed)
# D(E_F): 0.86 states/eV per atom
# Space-group type: No. 216
data_TbHoHg4
_chemical_formula_sum 'Tb1 Ho1 Hg4'
_cell_length_a 5.945
_cell_length_b 5.945
_cell_length_c 5.945
_cell_angle_alpha 60.00
_cell_angle_beta 60.00
_cell_angle_gamma 60.00
_symmetry_space_group_name_H-M 'P 1'
_symmetry_Int_Tables_number 1
loop_
_symmetry_equiv_pos_as_xyz
'x,y,z'
loop_
_atom_site_label
_atom_site_type_symbol
_atom_site_fract_x
_atom_site_fract_y
_atom_site_fract_z
Tb1 Tb 0.000 0.000 0.000
Hg1 Hg 0.625 0.625 0.125
Hg2 Hg 0.625 0.125 0.625
Hg3 Hg 0.625 0.625 0.625
Hg4 Hg 0.125 0.625 0.625
Ho1 Ho 0.250 0.250 0.250


Winner for stability: 1)


1) # Ho4TcHg (GGA-PBE, relaxed)
# D(E_F): 0.75 states/eV per atom
# Space-group type: No. 15
data_Ho4TcHg
_chemical_formula_sum 'Ho8 Tc2 Hg2'
_cell_length_a 6.268
_cell_length_b 7.597
_cell_length_c 7.597
_cell_angle_alpha 112.14
_cell_angle_beta 98.65
_cell_angle_gamma 98.65
_symmetry_space_group_name_H-M 'P 1'
_symmetry_Int_Tables_number 1
loop_
_symmetry_equiv_pos_as_xyz
'x,y,z'
loop_
_atom_site_label
_atom_site_type_symbol
_atom_site_fract_x
_atom_site_fract_y
_atom_site_fract_z
Ho1 Ho 0.905 0.637 0.797
Ho2 Ho 0.042 0.934 0.276
Ho3 Ho 0.595 0.203 0.363
Ho4 Ho 0.458 0.724 0.066
Ho5 Ho 0.542 0.276 0.934
Ho6 Ho 0.405 0.797 0.637
Ho7 Ho 0.958 0.066 0.724
Ho8 Ho 0.095 0.363 0.203
Tc1 Tc 0.250 0.999 0.001
Tc2 Tc 0.750 0.001 0.999
Hg1 Hg 0.750 0.627 0.373
Hg2 Hg 0.250 0.373 0.627


2) # Ho4TcHg (GGA-PBE, relaxed)
# D(E_F): 0.82 states/eV per atom
# Space-group type: No. 14
data_Ho4TcHg
_chemical_formula_sum 'Ho8 Tc2 Hg2'
_cell_length_a 6.627
_cell_length_b 6.857
_cell_length_c 7.694
_cell_angle_alpha 90.00
_cell_angle_beta 89.79
_cell_angle_gamma 90.00
_symmetry_space_group_name_H-M 'P 1'
_symmetry_Int_Tables_number 1
loop_
_symmetry_equiv_pos_as_xyz
'x,y,z'
loop_
_atom_site_label
_atom_site_type_symbol
_atom_site_fract_x
_atom_site_fract_y
_atom_site_fract_z
Ho1 Ho 0.858 0.650 0.206
Ho2 Ho 0.642 0.150 0.794
Ho3 Ho 0.342 0.352 0.360
Ho4 Ho 0.158 0.852 0.640
Ho5 Ho 0.142 0.350 0.794
Ho6 Ho 0.358 0.850 0.206
Ho7 Ho 0.658 0.648 0.640
Ho8 Ho 0.842 0.148 0.360
Tc1 Tc 0.500 0.000 0.500
Tc2 Tc 0.000 0.500 0.500
Hg1 Hg 0.000 0.000 0.000
Hg2 Hg 0.500 0.500 0.000


Winner for stability: 1)